Entry from the Alexandria database: a geometry-optimized PrTlZnCu structure (PBE-GGA).

Output
The calculation puts the raw total energy at -3.314 eV/atom. The value obtained for the size of the total moment is 0.0 μB/cell. The calculation puts the energy of formation from the pure elements at -0.19 eV/atom.

Cell: 7.0128 7.0128 7.0128 Å, 90.00 90.00 90.00°
Space group F-43m (No. 216)
Asymmetric unit:
1 Pr 0.0000 0.0000 0.0000 x4
2 Tl 0.0000 0.0000 0.5000 x4
3 Zn 0.2500 0.2500 0.7500 x4
4 Cu 0.2500 0.2500 0.2500 x4